[1]
An optimized crystal structure of V2GaAs. Source: Alexandria via LeMat-Bulk, functional PBE.

a = 6.6181 Å, b = 6.6181 Å, c = 6.6181 Å
α = 29.92°, β = 29.92°, γ = 29.92°
Positions (direct):
1 V 0.0000 0.0000 0.0000
2 V 0.1859 0.1859 0.1859
3 Ga 0.7614 0.7614 0.7614
4 As 0.5929 0.5929 0.5929

ΔH_f (0 K)	-0.0494	eV/atom
SG	R3m
total magnetic moment	0.00	μB per formula unit
V	15.97	Å³ per atom
polymorph energy (0 for the lowest one)	0	meV per atom

[2]
An optimized crystal structure of BaSi2PC. Source: Alexandria via LeMat-Bulk, functional PBE.

a = 4.1871 Å, b = 4.1871 Å, c = 5.8056 Å
α = 90.00°, β = 90.00°, γ = 90.00°
Positions (direct):
1 Ba 0.0000 0.0000 0.0000
2 Si 0.0000 0.5000 0.5000
3 Si 0.5000 0.0000 0.5000
4 P 0.5000 0.5000 0.0000
5 C 0.0000 0.0000 0.5000

SG	P4/mmm
total magnetic moment	0.00	μB per formula unit
V	20.36	Å³ per atom
raw formation energy	713	meV per atom

[3]
An optimized crystal structure of Ba4AsSe2Cl. Source: Alexandria via LeMat-Bulk, functional PBE.

a = 8.1496 Å, b = 4.7442 Å, c = 8.1660 Å
α = 90.00°, β = 108.90°, γ = 90.00°
Positions (direct):
1 Ba 0.2350 0.0000 0.2440
2 Ba 0.2417 0.5000 0.7460
3 Ba 0.7583 0.5000 0.2540
4 Ba 0.7650 0.0000 0.7560
5 As 0.0000 0.0000 0.5000
6 Se 0.0000 0.5000 0.0000
7 Se 0.5000 0.0000 0.0000
8 Cl 0.5000 0.5000 0.5000

SG	P2/m
total magnetic moment	0.00	μB per formula unit
V	37.34	Å³ per atom
raw formation energy	-1853	meV per atom

[4]
An optimized crystal structure of Rb2Hg2Br7. Source: Alexandria via LeMat-Bulk, functional PBE.

a = 8.4271 Å, b = 8.4271 Å, c = 6.6762 Å
α = 94.41°, β = 94.41°, γ = 93.21°
Positions (direct):
1 Rb 0.2470 0.7530 0.0000
2 Rb 0.7530 0.2470 0.0000
3 Hg 0.2586 0.2586 0.5236
4 Hg 0.7414 0.7414 0.4764
5 Br 0.0518 0.4178 0.7252
6 Br 0.1575 0.1575 0.1545
7 Br 0.4178 0.0518 0.7252
8 Br 0.5000 0.5000 0.5000
9 Br 0.5822 0.9482 0.2748
10 Br 0.8425 0.8425 0.8455
11 Br 0.9482 0.5822 0.2748

SG	C2/m
total magnetic moment	0.96	μB per formula unit
V	42.76	Å³ per atom
raw formation energy	-804	meV per atom

[5]
An optimized crystal structure of Al2Zn2Ru. Source: Alexandria via LeMat-Bulk, functional PBE.

a = 6.6175 Å, b = 6.6175 Å, c = 3.4939 Å
α = 90.00°, β = 90.00°, γ = 90.00°
Positions (direct):
1 Al 0.1494 0.3506 0.0000
2 Al 0.3506 0.8506 0.0000
3 Al 0.6494 0.1494 0.0000
4 Al 0.8506 0.6494 0.0000
5 Zn 0.1515 0.6515 0.5000
6 Zn 0.3485 0.1515 0.5000
7 Zn 0.6515 0.8485 0.5000
8 Zn 0.8485 0.3485 0.5000
9 Ru 0.0000 0.0000 0.0000
10 Ru 0.5000 0.5000 0.0000

ΔH_f (0 K)	0.0466	eV/atom
SG	P4/mbm
total magnetic moment	0.00	μB per formula unit
V	15.30	Å³ per atom

[6]
An optimized crystal structure of CaLa2SmTl4. Source: Alexandria via LeMat-Bulk, functional PBE.

a = 9.6851 Å, b = 9.6851 Å, c = 9.6851 Å
α = 33.28°, β = 33.28°, γ = 33.28°
Positions (direct):
1 Ca 0.0000 0.0000 0.0000
2 La 0.2545 0.2545 0.2545
3 La 0.7455 0.7455 0.7455
4 Sm 0.5000 0.5000 0.5000
5 Tl 0.1269 0.1269 0.1269
6 Tl 0.3773 0.3773 0.3773
7 Tl 0.6227 0.6227 0.6227
8 Tl 0.8731 0.8731 0.8731

ΔH_f (0 K)	-0.4249	eV/atom
SG	R-3m
total magnetic moment	0.00	μB per formula unit
V	30.44	Å³ per atom

[7]
An optimized crystal structure of LaScZn2Bi. Source: Alexandria via LeMat-Bulk, functional PBE.

a = 5.4535 Å, b = 5.4535 Å, c = 5.4750 Å
α = 90.00°, β = 90.00°, γ = 90.00°
Positions (direct):
1 La 0.0000 0.0000 0.0000
2 Sc 0.0000 0.0000 0.5000
3 Zn 0.0000 0.5000 0.0000
4 Zn 0.5000 0.0000 0.0000
5 Bi 0.5000 0.5000 0.5000

ΔH_f (0 K)	0.8915	eV/atom
SG	P4/mmm
total magnetic moment	0.00	μB per formula unit
V	32.57	Å³ per atom

[8]
An optimized crystal structure of LiPmPtO4. Source: Alexandria via LeMat-Bulk, functional PBE.

a = 6.5602 Å, b = 6.5602 Å, c = 6.5602 Å
α = 121.38°, β = 111.89°, γ = 96.11°
Positions (direct):
1 Li 0.3037 0.0537 0.2500
2 Li 0.6963 0.9463 0.7500
3 Pm 0.0000 0.5000 0.5000
4 Pm 0.5000 0.5000 0.0000
5 Pt 0.0000 0.0000 0.5000
6 Pt 0.0000 0.5000 0.0000
7 O 0.1630 0.2334 0.9296
8 O 0.1962 0.7666 0.4296
9 O 0.2368 0.2596 0.5228
10 O 0.2368 0.7139 0.9772
11 O 0.7632 0.2861 0.0228
12 O 0.7632 0.7404 0.4772
13 O 0.8038 0.2334 0.5704
14 O 0.8370 0.7666 0.0704

SG	Imma
total magnetic moment	0.00	μB per formula unit
V	14.78	Å³ per atom
raw formation energy	-1820	meV per atom